Here is crystalline PmCuPI at its relaxed geometry from Alexandria. Energies are from PBE.

```
8
Lattice="4.110 0.000 0.000 2.055 3.560 0.000 2.055 1.187 14.537" Properties=species:S:1:pos:R:3 pbc="T T T"
Pm 2.055 1.187 11.495
Pm 6.165 3.560 3.042
Cu 6.165 3.560 13.640
Cu 2.055 1.187 0.897
P 4.110 2.373 1.506
P 4.110 2.373 13.032
I 6.165 3.560 9.327
I 2.055 1.187 5.210
```

ΔE_f (raw): -1.041 eV per atom
M_tot: 0.000 μB/atom
Space group: R-3m (166)
Crystal system: trigonal